(1)
Below is crystalline CsYPt at its relaxed geometry, with properties calculated at the PBE level.

Lattice parameters (Å, degrees): 4.9747 4.9747 4.9747 60.00 60.00 60.00
Element x y z (fractional)
Cs1 0.0000 0.0000 0.0000
Y1 0.2500 0.2500 0.2500
Pt1 0.7500 0.7500 0.7500

Output
ρ   7.95 g/cm3
Total energy   -10.921 eV for the cell shown
Energy relative to the lowest polymorph listed for this composition   695 meV/atom

---

(2)
Below is crystalline CdPtAu2 at its relaxed geometry, with properties calculated at the PBE level.

Lattice parameters (Å, degrees): 4.6616 4.6616 4.6616 60.00 60.00 60.00
Element x y z (fractional)
Cd1 0.0000 0.0000 0.0000
Pt1 0.7500 0.7500 0.7500
Au1 0.2500 0.2500 0.2500
Au2 0.5000 0.5000 0.5000

Output
ρ   16.26 g/cm3
Total energy   -13.911 eV for the cell shown
DFT formation energy   -107 meV per atom